(1)
! LaZrAlTlV | Alexandria | GGA-PBE | optimized geometry; values from VASP
! Total magnetic moment: 0.0 μB/f.u.
! SG: Pmm2
! Energy of formation: -0.062 eV per atom
&SYSTEM
  ibrav = 0, nat = 5, ntyp = 5
/
ATOMIC_SPECIES
La 138.91 La.upf
Zr 91.22 Zr.upf
Al 26.98 Al.upf
Tl 204.38 Tl.upf
V 50.94 V.upf
CELL_PARAMETERS angstrom
3.825 0.000 0.000
0.000 4.454 0.000
0.000 0.000 6.859
ATOMIC_POSITIONS crystal
La 0.000 0.000 0.000
Zr 0.500 0.000 0.457
Al 0.500 0.500 0.189
Tl 0.500 0.500 0.764
V 0.000 0.500 0.451

(2)
! LaZrAlTlV | Alexandria | GGA-PBE | optimized geometry; values from VASP
! Total magnetic moment: 1.4 μB/f.u.
! SG: P1
! Energy of formation: 0.078 eV per atom
&SYSTEM
  ibrav = 0, nat = 5, ntyp = 5
/
ATOMIC_SPECIES
La 138.91 La.upf
Zr 91.22 Zr.upf
Al 26.98 Al.upf
Tl 204.38 Tl.upf
V 50.94 V.upf
CELL_PARAMETERS angstrom
3.218 0.000 0.000
0.009 5.532 0.000
1.607 1.781 6.479
ATOMIC_POSITIONS crystal
La 0.000 0.000 0.000
Zr 0.265 0.523 0.471
Al 0.585 0.556 0.830
Tl 0.746 0.024 0.508
V 0.924 0.454 0.152

(3)
! LaZrAlTlV | Alexandria | GGA-PBE | optimized geometry; values from VASP
! Total magnetic moment: 1.5 μB/f.u.
! SG: Cm
! Energy of formation: 0.029 eV per atom
&SYSTEM
  ibrav = 0, nat = 5, ntyp = 5
/
ATOMIC_SPECIES
La 138.91 La.upf
Zr 91.22 Zr.upf
Al 26.98 Al.upf
Tl 204.38 Tl.upf
V 50.94 V.upf
CELL_PARAMETERS angstrom
5.926 -1.731 0.000
5.926 1.731 0.000
-4.049 0.000 5.648
ATOMIC_POSITIONS crystal
La 0.000 0.000 0.000
Zr 0.514 0.514 0.515
Al 0.249 0.249 0.947
Tl 0.254 0.254 0.551
V 0.783 0.783 0.262

(4)
! LaZrAlTlV | Alexandria | GGA-PBE | optimized geometry; values from VASP
! Total magnetic moment: 2.1 μB/f.u.
! SG: I4mm
! Energy of formation: -0.103 eV per atom
&SYSTEM
  ibrav = 0, nat = 5, ntyp = 5
/
ATOMIC_SPECIES
La 138.91 La.upf
Zr 91.22 Zr.upf
Al 26.98 Al.upf
Tl 204.38 Tl.upf
V 50.94 V.upf
CELL_PARAMETERS angstrom
-1.757 1.757 9.300
1.757 -1.757 9.300
1.757 1.757 -9.300
ATOMIC_POSITIONS crystal
La 0.000 0.000 0.000
Zr 0.801 0.801 0.000
Al 0.385 0.385 0.000
Tl 0.632 0.632 0.000
V 0.223 0.223 0.000

(5)
! LaZrAlTlV | Alexandria | GGA-PBE | optimized geometry; values from VASP
! Total magnetic moment: 2.3 μB/f.u.
! SG: Amm2
! Energy of formation: -0.056 eV per atom
&SYSTEM
  ibrav = 0, nat = 5, ntyp = 5
/
ATOMIC_SPECIES
La 138.91 La.upf
Zr 91.22 Zr.upf
Al 26.98 Al.upf
Tl 204.38 Tl.upf
V 50.94 V.upf
CELL_PARAMETERS angstrom
3.446 0.000 0.000
0.000 2.301 7.322
0.000 -2.301 7.322
ATOMIC_POSITIONS crystal
La 0.000 0.000 0.000
Zr 0.000 0.745 0.745
Al 0.500 0.182 0.182
Tl 0.500 0.374 0.374
V 0.500 0.593 0.593

(6)
! LaZrAlTlV | Alexandria | GGA-PBE | optimized geometry; values from VASP
! Total magnetic moment: 1.3 μB/f.u.
! SG: Imm2
! Energy of formation: -0.041 eV per atom
&SYSTEM
  ibrav = 0, nat = 5, ntyp = 5
/
ATOMIC_SPECIES
La 138.91 La.upf
Zr 91.22 Zr.upf
Al 26.98 Al.upf
Tl 204.38 Tl.upf
V 50.94 V.upf
CELL_PARAMETERS angstrom
-1.913 2.269 6.855
1.913 -2.269 6.855
1.913 2.269 -6.855
ATOMIC_POSITIONS crystal
La 0.000 0.000 0.000
Zr 0.722 0.222 0.500
Al 0.192 0.692 0.500
Tl 0.370 0.370 0.000
V 0.580 0.580 0.000

(7)
! LaZrAlTlV | Alexandria | GGA-PBE | optimized geometry; values from VASP
! Total magnetic moment: 0.6 μB/f.u.
! SG: Cm
! Energy of formation: -0.015 eV per atom
&SYSTEM
  ibrav = 0, nat = 5, ntyp = 5
/
ATOMIC_SPECIES
La 138.91 La.upf
Zr 91.22 Zr.upf
Al 26.98 Al.upf
Tl 204.38 Tl.upf
V 50.94 V.upf
CELL_PARAMETERS angstrom
9.448 -1.859 0.000
9.448 1.859 0.000
-0.567 0.000 3.234
ATOMIC_POSITIONS crystal
La 0.000 0.000 0.000
Zr 0.760 0.760 0.759
Al 0.170 0.170 0.175
Tl 0.365 0.365 0.365
V 0.617 0.617 0.626

(8)
! LaZrAlTlV | Alexandria | GGA-PBE | optimized geometry; values from VASP
! Total magnetic moment: 0.0 μB/f.u.
! SG: Amm2
! Energy of formation: -0.019 eV per atom
&SYSTEM
  ibrav = 0, nat = 5, ntyp = 5
/
ATOMIC_SPECIES
La 138.91 La.upf
Zr 91.22 Zr.upf
Al 26.98 Al.upf
Tl 204.38 Tl.upf
V 50.94 V.upf
CELL_PARAMETERS angstrom
3.654 0.000 0.000
0.000 2.150 7.550
0.000 -2.150 7.550
ATOMIC_POSITIONS crystal
La 0.000 0.000 0.000
Zr 0.000 0.268 0.268
Al 0.500 0.413 0.413
Tl 0.500 0.639 0.639
V 0.500 0.821 0.821

(9)
! LaZrAlTlV | Alexandria | GGA-PBE | optimized geometry; values from VASP
! Total magnetic moment: 0.0 μB/f.u.
! SG: P1
! Energy of formation: 0.091 eV per atom
&SYSTEM
  ibrav = 0, nat = 5, ntyp = 5
/
ATOMIC_SPECIES
La 138.91 La.upf
Zr 91.22 Zr.upf
Al 26.98 Al.upf
Tl 204.38 Tl.upf
V 50.94 V.upf
CELL_PARAMETERS angstrom
3.183 0.000 0.000
1.258 5.737 0.000
1.522 0.659 6.210
ATOMIC_POSITIONS crystal
La 0.000 0.000 0.000
Zr 0.458 0.278 0.468
Al 0.194 0.829 0.461
Tl 0.638 0.530 0.811
V 0.906 0.584 0.205

(10)
! LaTm2Al | Alexandria | GGA-PBE | optimized geometry; values from VASP
! Total magnetic moment: 0.0 μB/f.u.
! SG: P4/mmm
! Energy of formation: -0.151 eV per atom
&SYSTEM
  ibrav = 0, nat = 4, ntyp = 3
/
ATOMIC_SPECIES
La 138.91 La.upf
Tm 168.93 Tm.upf
Al 26.98 Al.upf
CELL_PARAMETERS angstrom
4.816 0.000 0.000
0.000 4.816 0.000
0.000 0.000 4.784
ATOMIC_POSITIONS crystal
La 0.000 0.000 0.000
Tm 0.000 0.500 0.500
Tm 0.500 0.000 0.500
Al 0.500 0.500 0.000

(11)
! LaTm5Al4 | Alexandria | GGA-PBE | optimized geometry; values from VASP
! Total magnetic moment: 0.0 μB/f.u.
! SG: P4/mmm
! Energy of formation: -0.309 eV per atom
&SYSTEM
  ibrav = 0, nat = 10, ntyp = 3
/
ATOMIC_SPECIES
La 138.91 La.upf
Tm 168.93 Tm.upf
Al 26.98 Al.upf
CELL_PARAMETERS angstrom
3.544 0.000 0.000
0.000 3.544 0.000
0.000 0.000 19.615
ATOMIC_POSITIONS crystal
La 0.000 0.000 0.000
Tm 0.500 0.500 0.136
Tm 0.500 0.500 0.319
Tm 0.500 0.500 0.500
Tm 0.500 0.500 0.681
Tm 0.500 0.500 0.864
Al 0.000 0.000 0.227
Al 0.000 0.000 0.409
Al 0.000 0.000 0.591
Al 0.000 0.000 0.773

(12)
! La2TmAl | Alexandria | GGA-PBE | optimized geometry; values from VASP
! Total magnetic moment: 0.0 μB/f.u.
! SG: Fm-3m
! Energy of formation: -0.082 eV per atom
&SYSTEM
  ibrav = 0, nat = 4, ntyp = 3
/
ATOMIC_SPECIES
La 138.91 La.upf
Tm 168.93 Tm.upf
Al 26.98 Al.upf
CELL_PARAMETERS angstrom
0.000 3.902 3.902
3.902 0.000 3.902
3.902 3.902 0.000
ATOMIC_POSITIONS crystal
La 0.250 0.250 0.250
La 0.750 0.750 0.750
Tm 0.000 0.000 0.000
Al 0.500 0.500 0.500

(13)
! LaTm2Al | Alexandria | GGA-PBE | optimized geometry; values from VASP
! Total magnetic moment: 0.0 μB/f.u.
! SG: R-3m
! Energy of formation: 0.051 eV per atom
&SYSTEM
  ibrav = 0, nat = 4, ntyp = 3
/
ATOMIC_SPECIES
La 138.91 La.upf
Tm 168.93 Tm.upf
Al 26.98 Al.upf
CELL_PARAMETERS angstrom
1.720 0.993 11.399
-1.720 0.993 11.399
0.000 -1.986 11.399
ATOMIC_POSITIONS crystal
La 0.000 0.000 0.000
Tm 0.101 0.101 0.101
Tm 0.899 0.899 0.899
Al 0.500 0.500 0.500

(14)
! La6TmAl2 | Alexandria | GGA-PBE | optimized geometry; values from VASP
! Total magnetic moment: 0.0 μB/f.u.
! SG: C2/m
! Energy of formation: -0.149 eV per atom
&SYSTEM
  ibrav = 0, nat = 9, ntyp = 3
/
ATOMIC_SPECIES
La 138.91 La.upf
Tm 168.93 Tm.upf
Al 26.98 Al.upf
CELL_PARAMETERS angstrom
6.607 -1.908 0.000
6.607 1.908 0.000
-3.734 0.000 11.387
ATOMIC_POSITIONS crystal
La 0.033 0.033 0.328
La 0.306 0.306 0.398
La 0.323 0.323 0.122
La 0.677 0.677 0.878
La 0.694 0.694 0.602
La 0.967 0.967 0.672
Tm 0.000 0.000 0.000
Al 0.353 0.353 0.819
Al 0.647 0.647 0.181

(15)
! La6TmAl | Alexandria | GGA-PBE | optimized geometry; values from VASP
! Total magnetic moment: 0.0 μB/f.u.
! SG: C2/m
! Energy of formation: -0.060 eV per atom
&SYSTEM
  ibrav = 0, nat = 8, ntyp = 3
/
ATOMIC_SPECIES
La 138.91 La.upf
Tm 168.93 Tm.upf
Al 26.98 Al.upf
CELL_PARAMETERS angstrom
5.715 -2.515 0.000
5.715 2.515 0.000
-4.399 0.000 9.117
ATOMIC_POSITIONS crystal
La 0.008 0.008 0.245
La 0.257 0.257 0.641
La 0.258 0.258 0.116
La 0.742 0.742 0.884
La 0.743 0.743 0.359
La 0.992 0.992 0.755
Tm 0.500 0.500 0.500
Al 0.500 0.500 0.000

(16)
! LaTm4Al | Alexandria | GGA-PBE | optimized geometry; values from VASP
! Total magnetic moment: 0.0 μB/f.u.
! SG: C2/c
! Energy of formation: -0.039 eV per atom
&SYSTEM
  ibrav = 0, nat = 12, ntyp = 3
/
ATOMIC_SPECIES
La 138.91 La.upf
Tm 168.93 Tm.upf
Al 26.98 Al.upf
CELL_PARAMETERS angstrom
4.382 -6.887 0.000
4.382 6.887 0.000
-1.992 0.000 5.819
ATOMIC_POSITIONS crystal
La 0.098 0.902 0.750
La 0.902 0.098 0.250
Tm 0.110 0.339 0.871
Tm 0.216 0.581 0.452
Tm 0.339 0.110 0.371
Tm 0.419 0.784 0.048
Tm 0.581 0.216 0.952
Tm 0.661 0.890 0.629
Tm 0.784 0.419 0.548
Tm 0.890 0.661 0.129
Al 0.499 0.501 0.250
Al 0.501 0.499 0.750

(17)
! LaTmAl4 | Alexandria | GGA-PBE | optimized geometry; values from VASP
! Total magnetic moment: 0.0 μB/f.u.
! SG: F-43m
! Energy of formation: -0.465 eV per atom
&SYSTEM
  ibrav = 0, nat = 6, ntyp = 3
/
ATOMIC_SPECIES
La 138.91 La.upf
Tm 168.93 Tm.upf
Al 26.98 Al.upf
CELL_PARAMETERS angstrom
0.000 3.992 3.992
3.992 0.000 3.992
3.992 3.992 0.000
ATOMIC_POSITIONS crystal
La 0.000 0.000 0.000
Tm 0.750 0.750 0.750
Al 0.375 0.375 0.375
Al 0.375 0.375 0.875
Al 0.375 0.875 0.375
Al 0.875 0.375 0.375

(18)
! LaTm4Al | Alexandria | GGA-PBE | optimized geometry; values from VASP
! Total magnetic moment: 0.0 μB/f.u.
! SG: P4/mmm
! Energy of formation: -0.110 eV per atom
&SYSTEM
  ibrav = 0, nat = 6, ntyp = 3
/
ATOMIC_SPECIES
La 138.91 La.upf
Tm 168.93 Tm.upf
Al 26.98 Al.upf
CELL_PARAMETERS angstrom
3.537 0.000 0.000
0.000 3.537 0.000
0.000 0.000 13.874
ATOMIC_POSITIONS crystal
La 0.000 0.000 0.000
Tm 0.000 0.000 0.367
Tm 0.000 0.000 0.633
Tm 0.500 0.500 0.188
Tm 0.500 0.500 0.812
Al 0.500 0.500 0.500

(19)
! LaTm2Al | Alexandria | GGA-PBE | optimized geometry; values from VASP
! Total magnetic moment: 0.0 μB/f.u.
! SG: P4/mmm
! Energy of formation: -0.193 eV per atom
&SYSTEM
  ibrav = 0, nat = 4, ntyp = 3
/
ATOMIC_SPECIES
La 138.91 La.upf
Tm 168.93 Tm.upf
Al 26.98 Al.upf
CELL_PARAMETERS angstrom
3.518 0.000 0.000
0.000 3.518 0.000
0.000 0.000 9.111
ATOMIC_POSITIONS crystal
La 0.000 0.000 0.000
Tm 0.500 0.500 0.296
Tm 0.500 0.500 0.704
Al 0.000 0.000 0.500

(20)
! LaTmAl | Alexandria | GGA-PBE | optimized geometry; values from VASP
! Total magnetic moment: 0.0 μB/f.u.
! SG: I4/mmm
! Energy of formation: -0.199 eV per atom
&SYSTEM
  ibrav = 0, nat = 6, ntyp = 3
/
ATOMIC_SPECIES
La 138.91 La.upf
Tm 168.93 Tm.upf
Al 26.98 Al.upf
CELL_PARAMETERS angstrom
-1.730 1.730 14.342
1.730 -1.730 14.342
1.730 1.730 -14.342
ATOMIC_POSITIONS crystal
La 0.065 0.065 0.000
La 0.935 0.935 0.000
Tm 0.205 0.205 0.000
Tm 0.795 0.795 0.000
Al 0.363 0.363 0.000
Al 0.637 0.637 0.000

(21)
! LaTm3Al4 | Alexandria | GGA-PBE | optimized geometry; values from VASP
! Total magnetic moment: 0.0 μB/f.u.
! SG: P4/mmm
! Energy of formation: -0.370 eV per atom
&SYSTEM
  ibrav = 0, nat = 8, ntyp = 3
/
ATOMIC_SPECIES
La 138.91 La.upf
Tm 168.93 Tm.upf
Al 26.98 Al.upf
CELL_PARAMETERS angstrom
5.100 0.000 0.000
0.000 5.100 0.000
0.000 0.000 7.288
ATOMIC_POSITIONS crystal
La 0.000 0.000 0.000
Tm 0.000 0.000 0.500
Tm 0.500 0.500 0.000
Tm 0.500 0.500 0.500
Al 0.000 0.500 0.265
Al 0.000 0.500 0.735
Al 0.500 0.000 0.265
Al 0.500 0.000 0.735

(22)
! LaTm6Al6 | Alexandria | GGA-PBE | optimized geometry; values from VASP
! Total magnetic moment: 0.0 μB/f.u.
! SG: Immm
! Energy of formation: -0.338 eV per atom
&SYSTEM
  ibrav = 0, nat = 13, ntyp = 3
/
ATOMIC_SPECIES
La 138.91 La.upf
Tm 168.93 Tm.upf
Al 26.98 Al.upf
CELL_PARAMETERS angstrom
-2.937 5.067 5.234
2.937 -5.067 5.234
2.937 5.067 -5.234
ATOMIC_POSITIONS crystal
La 0.000 0.000 0.000
Tm 0.184 0.500 0.684
Tm 0.338 0.338 0.000
Tm 0.346 0.000 0.346
Tm 0.654 0.000 0.654
Tm 0.662 0.662 0.000
Tm 0.816 0.500 0.316
Al 0.000 0.000 0.500
Al 0.000 0.500 0.000
Al 0.236 0.736 0.500
Al 0.500 0.000 0.000
Al 0.500 0.500 0.500
Al 0.764 0.264 0.500

(23)
! La6TmAl | Alexandria | GGA-PBE | optimized geometry; values from VASP
! Total magnetic moment: 0.0 μB/f.u.
! SG: P4/mmm
! Energy of formation: -0.069 eV per atom
&SYSTEM
  ibrav = 0, nat = 8, ntyp = 3
/
ATOMIC_SPECIES
La 138.91 La.upf
Tm 168.93 Tm.upf
Al 26.98 Al.upf
CELL_PARAMETERS angstrom
5.071 0.000 0.000
0.000 5.071 0.000
0.000 0.000 10.255
ATOMIC_POSITIONS crystal
La 0.000 0.000 0.000
La 0.000 0.000 0.500
La 0.000 0.500 0.240
La 0.000 0.500 0.760
La 0.500 0.000 0.240
La 0.500 0.000 0.760
Tm 0.500 0.500 0.500
Al 0.500 0.500 0.000

(24)
! LaTmAl3 | Alexandria | GGA-PBE | optimized geometry; values from VASP
! Total magnetic moment: 0.0 μB/f.u.
! SG: Cmcm
! Energy of formation: -0.415 eV per atom
&SYSTEM
  ibrav = 0, nat = 10, ntyp = 3
/
ATOMIC_SPECIES
La 138.91 La.upf
Tm 168.93 Tm.upf
Al 26.98 Al.upf
CELL_PARAMETERS angstrom
2.106 -13.376 0.000
2.106 13.376 0.000
0.000 0.000 4.401
ATOMIC_POSITIONS crystal
La 0.075 0.925 0.750
La 0.925 0.075 0.250
Tm 0.207 0.793 0.250
Tm 0.793 0.207 0.750
Al 0.323 0.677 0.250
Al 0.377 0.623 0.750
Al 0.475 0.525 0.750
Al 0.525 0.475 0.250
Al 0.623 0.377 0.250
Al 0.677 0.323 0.750

(25)
! LaTmAl | Alexandria | GGA-PBE | optimized geometry; values from VASP
! Total magnetic moment: 0.0 μB/f.u.
! SG: P4/nmm
! Energy of formation: -0.226 eV per atom
&SYSTEM
  ibrav = 0, nat = 6, ntyp = 3
/
ATOMIC_SPECIES
La 138.91 La.upf
Tm 168.93 Tm.upf
Al 26.98 Al.upf
CELL_PARAMETERS angstrom
3.461 0.000 0.000
0.000 3.461 0.000
0.000 0.000 13.980
ATOMIC_POSITIONS crystal
La 0.250 0.250 0.116
La 0.750 0.750 0.884
Tm 0.250 0.250 0.408
Tm 0.750 0.750 0.592
Al 0.250 0.250 0.731
Al 0.750 0.750 0.269